Entry 1:
GaSbAu: optimized geometry, PBE.

Results
For the volume, the calculation gives 22.573 Å³ per atom. The calculation puts the calculated total energy at -3.5273 eV/atom. The relative energy among the computed polymorphs is 0 meV per atom.

Unit cell a=6.3604 b=4.0719 c=10.4586 alpha=90.00 beta=90.00 gamma=90.00
Positions (direct):
1 Ga 0.8780 0.7500 0.5536
2 Ga 0.6220 0.2500 0.0536
3 Sb 0.4635 0.7500 0.6229
4 Au 0.0159 0.2500 0.6957
5 Sb 0.5365 0.2500 0.3771
6 Au 0.9841 0.7500 0.3043
7 Sb 0.9635 0.7500 0.8771
8 Au 0.4842 0.7500 0.1957
9 Sb 0.0365 0.2500 0.1229
10 Ga 0.3780 0.7500 0.9464
11 Au 0.5158 0.2500 0.8043
12 Ga 0.1220 0.2500 0.4464


Entry 2:
NbTlCuTe3: optimized geometry, PBE.

Results
The magnetic moment is 1.059 Bohr magnetons per cell. For the volume, the calculation gives 27.848 Å³ per atom. The calculation puts the calculated total energy at -4.4735 eV/atom.

Unit cell a=3.9595 b=12.4603 c=13.5469 alpha=90.00 beta=90.00 gamma=90.00
Positions (direct):
1 Cu 0.7500 0.2679 0.3198
2 Te 0.7500 0.8284 0.7526
3 Te 0.2500 0.5671 0.9234
4 Tl 0.7500 0.5500 0.7018
5 Te 0.7500 0.6716 0.2526
6 Te 0.7500 0.0671 0.5766
7 Te 0.2500 0.6725 0.5031
8 Nb 0.7500 0.6682 0.0461
9 Nb 0.7500 0.8318 0.5461
10 Tl 0.2500 0.0500 0.7982
11 Tl 0.7500 0.9500 0.2018
12 Te 0.2500 0.9329 0.4234
13 Tl 0.2500 0.4500 0.2982
14 Te 0.2500 0.8275 0.0031
15 Cu 0.7500 0.2321 0.8198
16 Cu 0.2500 0.7321 0.6802
17 Nb 0.2500 0.1682 0.4539
18 Te 0.7500 0.3275 0.4969
19 Nb 0.2500 0.3318 0.9539
20 Te 0.2500 0.1716 0.2474
21 Te 0.7500 0.1725 0.9969
22 Te 0.7500 0.4329 0.0766
23 Te 0.2500 0.3284 0.7474
24 Cu 0.2500 0.7679 0.1802


Entry 3:
CdSiO3: optimized geometry, PBE.

Results
For the volume, the calculation gives 10.330 Å³ per atom. The calculation puts the calculated total energy at -6.0729 eV/atom.

Unit cell a=3.3713 b=3.3713 c=4.5443 alpha=90.00 beta=90.00 gamma=90.00
Positions (direct):
1 O 0.0000 0.5000 0.6172
2 Cd 0.0000 0.0000 0.9958
3 Si 0.5000 0.5000 0.5186
4 O 0.5000 0.0000 0.6172
5 O 0.5000 0.5000 0.1513